# LaTmIn3 | the Alexandria database | PBE | optimized geometry
data_LaTmIn3
_symmetry_space_group_name_H-M 'C m c m'
_symmetry_Int_Tables_number 63
_symmetry_space_group_name_Hall '-C 2c 2'
_cell_length_a 3.754
_cell_length_b 29.710
_cell_length_c 4.950
_cell_angle_alpha 90.00
_cell_angle_beta 90.00
_cell_angle_gamma 90.00
loop_
_atom_site_label
_atom_site_type_symbol
_atom_site_fract_x
_atom_site_fract_y
_atom_site_fract_z
La1 La 0.000 0.075 0.250
Tm1 Tm 0.000 0.213 0.750
In1 In 0.000 0.318 0.750
In2 In 0.000 0.376 0.250
In3 In 0.000 0.475 0.250
# ΔE to the lowest computed polymorph (eV/f.u.): 0.00
# Fermi-level density of states (states/eV/f.u.): 3.50
# Uncorrected energy (eV per cell): -79.5
# Energy relative to the elements (eV per atom): -0.45



# GaGeB2I | the Alexandria database | PBE | optimized geometry
data_GaGeB2I
_symmetry_space_group_name_H-M 'P 4/m m m'
_symmetry_Int_Tables_number 123
_symmetry_space_group_name_Hall '-P 4 2'
_cell_length_a 4.268
_cell_length_b 4.268
_cell_length_c 6.180
_cell_angle_alpha 90.00
_cell_angle_beta 90.00
_cell_angle_gamma 90.00
loop_
_atom_site_label
_atom_site_type_symbol
_atom_site_fract_x
_atom_site_fract_y
_atom_site_fract_z
Ga1 Ga 0.000 0.000 0.000
Ge1 Ge 0.500 0.500 0.500
B1 B 0.000 0.500 0.500
I1 I 0.500 0.500 0.000
# Fermi-level density of states (states/eV/f.u.): 2.11
# Uncorrected energy (eV per cell): -15.7



# Ce2SnPb4 | the Alexandria database | PBE | optimized geometry
data_Ce2SnPb4
_symmetry_space_group_name_H-M 'C 1 2/m 1'
_symmetry_Int_Tables_number 12
_cell_length_a 9.555
_cell_length_b 9.600
_cell_length_c 6.745
_cell_angle_alpha 90.00
_cell_angle_beta 134.87
_cell_angle_gamma 90.00
loop_
_symmetry_equiv_pos_as_xyz
'x,y,z'
'-x,-y,-z'
'-x,y,-z'
'x,-y,z'
'x+1/2,y+1/2,z'
'-x+1/2,-y+1/2,-z'
'-x+1/2,y+1/2,-z'
'x+1/2,-y+1/2,z'
loop_
_atom_site_label
_atom_site_type_symbol
_atom_site_fract_x
_atom_site_fract_y
_atom_site_fract_z
Ce1 Ce 0.250 0.250 0.000
Sn1 Sn 0.000 0.000 0.000
Pb1 Pb 0.000 0.000 0.500
Pb2 Pb 0.000 0.500 0.500
Pb3 Pb 0.250 0.250 0.500
# Fermi-level density of states (states/eV/f.u.): 12.73
# Uncorrected energy (eV per cell): -65.6
# Energy relative to the elements (eV per atom): -0.30



# PuCd2PdO6 | the Alexandria database | PBE | optimized geometry
data_PuCd2PdO6
_symmetry_space_group_name_H-M 'C 1 2/m 1'
_symmetry_Int_Tables_number 12
_cell_length_a 11.160
_cell_length_b 5.699
_cell_length_c 5.165
_cell_angle_alpha 90.00
_cell_angle_beta 117.52
_cell_angle_gamma 90.00
loop_
_symmetry_equiv_pos_as_xyz
'x,y,z'
'-x,-y,-z'
'-x,y,-z'
'x,-y,z'
'x+1/2,y+1/2,z'
'-x+1/2,-y+1/2,-z'
'-x+1/2,y+1/2,-z'
'x+1/2,-y+1/2,z'
loop_
_atom_site_label
_atom_site_type_symbol
_atom_site_fract_x
_atom_site_fract_y
_atom_site_fract_z
Pu1 Pu 0.000 0.000 0.000
Cd1 Cd 0.245 0.500 0.181
Pd1 Pd 0.000 0.500 0.500
O1 O 0.090 0.263 0.827
O2 O 0.170 0.000 0.342
# Fermi-level density of states (states/eV/f.u.): 1.98
# Uncorrected energy (eV per cell): -132.3



# CsK4Rb8 | the Alexandria database | PBE | optimized geometry
data_CsK4Rb8
_symmetry_space_group_name_H-M 'F -4 3 m'
_symmetry_Int_Tables_number 216
_symmetry_space_group_name_Hall 'F -4 2 3'
_cell_length_a 17.362
_cell_length_b 17.362
_cell_length_c 17.362
_cell_angle_alpha 90.00
_cell_angle_beta 90.00
_cell_angle_gamma 90.00
loop_
_atom_site_label
_atom_site_type_symbol
_atom_site_fract_x
_atom_site_fract_y
_atom_site_fract_z
Cs1 Cs 0.000 0.000 0.000
K1 K 0.095 0.095 0.595
Rb1 Rb 0.149 0.149 0.851
Rb2 Rb 0.154 0.154 0.346
# ΔE to the lowest computed polymorph (eV/f.u.): 0.77
# Fermi-level density of states (states/eV/f.u.): 14.16
# Uncorrected energy (eV per cell): -46.4
# Energy relative to the elements (eV per atom): 0.11



# CdSi4 | the Alexandria database | PBE | optimized geometry
data_CdSi4
_symmetry_space_group_name_H-M 'P m -3 m'
_symmetry_Int_Tables_number 221
_symmetry_space_group_name_Hall '-P 4 2 3'
_cell_length_a 4.972
_cell_length_b 4.972
_cell_length_c 4.972
_cell_angle_alpha 90.00
_cell_angle_beta 90.00
_cell_angle_gamma 90.00
loop_
_atom_site_label
_atom_site_type_symbol
_atom_site_fract_x
_atom_site_fract_y
_atom_site_fract_z
Cd1 Cd 0.000 0.000 0.000
Si1 Si 0.000 0.000 0.500
Si2 Si 0.500 0.500 0.500
# ΔE to the lowest computed polymorph (eV/f.u.): 6.12
# Fermi-level density of states (states/eV/f.u.): 2.51
# Uncorrected energy (eV per cell): -15.0